No. 1
The following is a PBE-GGA calculation of ScCoRu after structural relaxation, from Alexandria via LeMat-Bulk.

The structure belongs to space group Cmcm (No. 63); the cell edges are 3.185, 13.196 and 4.262 Å and the angles 90.00°, 90.00° and 90.00°. Symmetry generates all atoms from Sc at (0.000, 0.088, 0.250), Co at (0.000, 0.245, 0.750) and Ru at (0.000, 0.408, 0.250).

The polymorph energy (0 for the lowest one) is 0.170 eV per atom. The value obtained for the formation energy is -193 meV per atom.

No. 2
The following is a PBE-GGA calculation of Pu2Ge3Rh5 after structural relaxation, from Alexandria via LeMat-Bulk.

The structure belongs to space group Cmc2_1 (No. 36); the cell edges are 4.157, 25.081 and 6.575 Å and the angles 90.00°, 90.00° and 90.00°. Symmetry generates all atoms from Pu at (0.000, 0.014, 0.000), Pu at (0.000, 0.327, 0.011), Ge at (0.000, 0.112, 0.775), Ge at (0.000, 0.273, 0.523), Ge at (0.000, 0.448, 0.780), Rh at (0.000, 0.103, 0.353), Rh at (0.000, 0.208, 0.236), Rh at (0.000, 0.209, 0.813), Rh at (0.000, 0.371, 0.524) and Rh at (0.000, 0.442, 0.165).

The value obtained for the formation energy is -570 meV per atom.

No. 3
The following is a PBE-GGA calculation of Sr2ScAs after structural relaxation, from Alexandria via LeMat-Bulk.

The structure belongs to space group Amm2 (No. 38); the cell edges are 4.265, 4.945 and 12.795 Å and the angles 90.00°, 90.00° and 90.00°. Symmetry generates all atoms from Sr at (0.000, 0.000, 0.000), Sr at (0.500, 0.000, 0.302), Sc at (0.500, 0.000, 0.606) and As at (0.000, 0.000, 0.730).

The value obtained for the formation energy is -536 meV per atom.

No. 4
The following is a PBE-GGA calculation of La3Si2Pd9Au after structural relaxation, from Alexandria via LeMat-Bulk.

The structure belongs to space group P-3m1 (No. 164); the cell edges are 5.7976, 5.7976 and 10.9296 Å and the angles 90.00°, 90.00° and 120.00°. Symmetry generates all atoms from La at (0.0000, 0.0000, 0.0000), La at (0.3333, 0.6667, 0.6145), Si at (0.3333, 0.6667, 0.1572), Pd at (0.0000, 0.5000, 0.0000), Pd at (0.1622, 0.3244, 0.2997) and Au at (0.0000, 0.0000, 0.5000).

The value obtained for the uncorrected formation energy is -10.1 eV/f.u.

No. 5
The following is a PBE-GGA calculation of La4GaAgO after structural relaxation, from Alexandria via LeMat-Bulk.

The structure belongs to space group Cmcm (No. 63); the cell edges are 7.100, 15.391 and 7.106 Å and the angles 90.00°, 90.00° and 90.00°. Symmetry generates all atoms from La at (0.000, 0.068, 0.250), La at (0.000, 0.429, 0.250), La at (0.250, 0.250, 0.000), Ga at (0.000, 0.127, 0.750), Ag at (0.000, 0.381, 0.750) and O at (0.000, 0.249, 0.250).

The value obtained for the uncorrected formation energy is -7.1 eV/f.u.

No. 6
The following is a PBE-GGA calculation of BaCoAgGe after structural relaxation, from Alexandria via LeMat-Bulk.

The structure belongs to space group P4/nmm (No. 129, origin choice 2); the cell edges are 4.011, 4.011 and 11.877 Å and the angles 90.00°, 90.00° and 90.00°. Symmetry generates all atoms from Ba at (0.250, 0.250, 0.247), Co at (0.250, 0.750, 0.500), Ag at (0.250, 0.750, 0.000) and Ge at (0.250, 0.250, 0.602).

The value obtained for the formation energy is -278 meV per atom.

No. 7
The following is a PBE-GGA calculation of LaAsRu2 after structural relaxation, from Alexandria via LeMat-Bulk.

The structure belongs to space group I-4m2 (No. 119); the cell edges are 3.928, 3.928 and 9.425 Å and the angles 90.00°, 90.00° and 90.00°. Symmetry generates all atoms from La at (0.000, 0.000, 0.000), As at (0.000, 0.500, 0.250), Ru at (0.000, 0.000, 0.500) and Ru at (0.000, 0.500, 0.750).

The value obtained for the formation energy is -2 meV per atom.

No. 8
The following is a PBE-GGA calculation of TlCoAg3 after structural relaxation, from Alexandria via LeMat-Bulk.

The structure belongs to space group Pm-3m (No. 221); the cell edges are 4.908, 4.908 and 4.908 Å and the angles 90.00°, 90.00° and 90.00°. Symmetry generates all atoms from Tl at (0.000, 0.000, 0.000), Co at (0.500, 0.500, 0.500) and Ag at (0.000, 0.500, 0.500).

The polymorph energy (0 for the lowest one) is 0.000 eV per atom. The value obtained for the formation energy is 736 meV per atom.

No. 9
The following is a PBE-GGA calculation of Re2MoAu after structural relaxation, from Alexandria via LeMat-Bulk.

The structure belongs to space group R-3m (No. 166, hexagonal axes); the cell edges are 2.8118, 2.8118 and 27.8999 Å and the angles 90.00°, 90.00° and 120.00°. Symmetry generates all atoms from Re at (0.0000, 0.0000, 0.2461), Mo at (0.0000, 0.0000, 0.5000) and Au at (0.0000, 0.0000, 0.0000).

The polymorph energy (0 for the lowest one) is 0.109 eV per atom. The value obtained for the formation energy is 318 meV per atom.

No. 10
The following is a PBE-GGA calculation of AlSiPO2 after structural relaxation, from Alexandria via LeMat-Bulk.

The structure belongs to space group P4/mmm (No. 123); the cell edges are 3.531, 3.531 and 5.441 Å and the angles 90.00°, 90.00° and 90.00°. Symmetry generates all atoms from Al at (0.000, 0.000, 0.000), Si at (0.500, 0.500, 0.500), P at (0.000, 0.000, 0.500) and O at (0.000, 0.500, 0.000).

The value obtained for the uncorrected formation energy is -4.1 eV/f.u. The polymorph energy (0 for the lowest one) is 0.274 eV per atom.

No. 11
The following is a PBE-GGA calculation of TbPr2Sm after structural relaxation, from Alexandria via LeMat-Bulk.

The structure belongs to space group P4/mmm (No. 123); the cell edges are 4.282, 4.282 and 7.532 Å and the angles 90.00°, 90.00° and 90.00°. Symmetry generates all atoms from Tb at (0.000, 0.000, 0.000), Pr at (0.500, 0.500, 0.246) and Sm at (0.000, 0.000, 0.500).

The polymorph energy (0 for the lowest one) is 0.093 eV per atom. The value obtained for the formation energy is 104 meV per atom.

No. 12
The following is a PBE-GGA calculation of BiTeS after structural relaxation, from Alexandria via LeMat-Bulk.

The structure belongs to space group Pnma (No. 62); the cell edges are 11.064, 3.874 and 8.497 Å and the angles 90.00°, 90.00° and 90.00°. Symmetry generates all atoms from Bi at (0.139, 0.250, 0.107), Te at (0.093, 0.750, 0.422) and S at (0.107, 0.750, 0.882).

The value obtained for the uncorrected formation energy is -0.3 eV/f.u. The polymorph energy (0 for the lowest one) is 0.136 eV per atom.

Number 1: E_tot -7.7645 eV/atom. Number 2: E_tot -8.4977 eV/atom. Number 3: E_tot -4.1226 eV/atom. Number 4: E_tot -5.7133 eV/atom. Number 5: E_tot -5.3734 eV/atom. Number 6: E_tot -4.4020 eV/atom. Number 7: E_tot -7.0344 eV/atom. Number 8: E_tot -2.8692 eV/atom. Number 9: E_tot -9.4335 eV/atom. Number 10: E_tot -5.7173 eV/atom. Number 11: E_tot -4.6226 eV/atom. Number 12: E_tot -3.8110 eV/atom.